No. 1
Computed, not measured: a geometry-optimized CrCuF5 structure at the GGA+U level of DFT.

Summary:
- calculated total energy (Ry per atom) = -0.3770
- SG = Immm, No. 71

Structure (POSCAR):
```
CrCuF5
1.0
3.800 0.000 0.000
0.000 6.399 0.000
0.000 0.000 7.594
Cr Cu F
2 2 10
Cartesian
0.000 0.000 0.000 Cr
1.900 3.200 3.797 Cr
0.000 0.000 3.797 Cu
1.900 3.200 0.000 Cu
0.000 0.000 1.947 F
0.000 0.000 5.647 F
0.000 1.945 0.000 F
0.000 3.200 3.797 F
0.000 4.454 0.000 F
1.900 0.000 0.000 F
1.900 1.255 3.797 F
1.900 3.200 1.850 F
1.900 3.200 5.745 F
1.900 5.144 3.797 F
```

***

No. 2
Computed, not measured: a geometry-optimized CrCu3F8 structure at the GGA+U level of DFT.

Summary:
- calculated total energy (Ry per atom) = -0.3457
- SG = C222, No. 21

Structure (POSCAR):
```
CrCu3F8
1.0
2.730 -4.778 0.000
2.730 4.778 0.000
0.000 0.000 6.224
Cr Cu F
1 3 8
Cartesian
0.000 0.000 0.000 Cr
0.000 0.000 3.112 Cu
1.365 2.389 1.597 Cu
1.365 -2.389 4.627 Cu
2.730 2.836 3.112 F
2.730 2.813 0.000 F
1.317 0.191 1.416 F
1.317 -0.191 4.808 F
4.144 0.191 4.808 F
4.144 -0.191 1.416 F
2.730 -2.813 0.000 F
2.730 -2.836 3.112 F
```

***

No. 3
Computed, not measured: a geometry-optimized CrCu2F6 structure at the GGA+U level of DFT.

Summary:
- calculated total energy (Ry per atom) = -0.3633
- SG = Pnnm, No. 58

Structure (POSCAR):
```
CrCu2F6
1.0
4.899 0.000 0.000
0.000 5.637 0.000
0.000 0.000 8.685
Cr Cu F
2 4 12
Cartesian
0.000 0.000 0.000 Cr
2.449 2.818 4.343 Cr
0.000 2.818 1.638 Cu
0.000 2.818 7.047 Cu
2.449 0.000 2.704 Cu
2.449 0.000 5.981 Cu
0.846 1.783 0.000 F
1.151 4.889 1.389 F
1.151 4.889 7.296 F
1.298 2.071 2.953 F
1.298 2.071 5.732 F
1.603 4.601 4.343 F
3.296 1.036 4.343 F
3.601 3.565 2.953 F
3.601 3.565 5.732 F
3.747 0.747 1.389 F
3.747 0.747 7.296 F
4.052 3.854 0.000 F
```

***

No. 4
Computed, not measured: a geometry-optimized CrCu2F8 structure at the GGA+U level of DFT.

Summary:
- calculated total energy (Ry per atom) = -0.3374
- SG = C2/m, No. 12

Structure (POSCAR):
```
CrCu2F8
1.0
9.027 -1.468 0.000
9.027 1.468 0.000
-0.187 0.000 5.904
Cr Cu F
1 2 8
Cartesian
0.000 0.000 0.000 Cr
5.870 0.000 2.274 Cu
11.997 0.000 3.630 Cu
1.614 0.000 5.742 F
1.947 0.000 2.976 F
4.088 0.000 4.188 F
8.744 0.000 4.648 F
9.124 0.000 1.256 F
13.779 0.000 1.715 F
15.920 0.000 2.928 F
16.253 0.000 0.162 F
```

***

No. 5
Computed, not measured: a geometry-optimized K3Cr2CuF9 structure at the GGA+U level of DFT.

Summary:
- calculated total energy (Ry per atom) = -0.3770
- SG = P-3m1, No. 164

Structure (POSCAR):
```
K3Cr2CuF9
1.0
5.890 0.000 0.000
-2.945 5.101 0.000
0.000 0.000 7.247
K Cr Cu F
3 2 1 9
Cartesian
0.000 0.000 0.000 K
0.000 3.401 4.711 K
2.945 1.700 2.536 K
0.000 3.401 1.189 Cr
2.945 1.700 6.058 Cr
0.000 0.000 3.623 Cu
-1.472 2.550 0.000 F
0.000 1.745 2.348 F
-1.434 4.228 2.348 F
1.511 0.872 4.899 F
2.945 0.000 0.000 F
1.472 2.550 0.000 F
1.434 4.228 2.348 F
4.379 0.872 4.899 F
2.945 3.356 4.899 F
```

***

No. 6
Computed, not measured: a geometry-optimized KCrCu2F structure at the GGA+U level of DFT.

Summary:
- calculated total energy (Ry per atom) = -0.2641
- SG = P4/mmm, No. 123

Structure (POSCAR):
```
KCrCu2F
1.0
4.537 0.000 0.000
0.000 4.537 0.000
0.000 0.000 4.771
K Cr Cu F
1 1 2 1
Cartesian
0.000 0.000 0.000 K
2.268 2.268 0.000 Cr
0.000 2.268 2.386 Cu
2.268 0.000 2.386 Cu
0.000 0.000 2.386 F
```

***

No. 7
Computed, not measured: a geometry-optimized K2CrCuF structure at the GGA+U level of DFT.

Summary:
- calculated total energy (Ry per atom) = -0.2530
- SG = P4/mmm, No. 123

Structure (POSCAR):
```
K2CrCuF
1.0
4.868 0.000 0.000
0.000 4.868 0.000
0.000 0.000 5.932
K Cr Cu F
2 1 1 1
Cartesian
0.000 2.434 0.000 K
2.434 0.000 0.000 K
0.000 0.000 2.966 Cr
2.434 2.434 2.966 Cu
2.434 2.434 0.000 F
```

***

No. 8
Computed, not measured: a geometry-optimized KCrCuF2 structure at the GGA+U level of DFT.

Summary:
- calculated total energy (Ry per atom) = -0.2753
- SG = P4/mmm, No. 123

Structure (POSCAR):
```
KCrCuF2
1.0
4.305 0.000 0.000
0.000 4.305 0.000
0.000 0.000 5.497
K Cr Cu F
1 1 1 2
Cartesian
0.000 0.000 0.000 K
2.152 2.152 0.000 Cr
0.000 0.000 2.749 Cu
0.000 2.152 2.749 F
2.152 0.000 2.749 F
```

***

Repeat the first record exactly.
Computed, not measured: a geometry-optimized CrCuF5 structure at the GGA+U level of DFT.

Summary:
- calculated total energy (Ry per atom) = -0.3770
- SG = Immm, No. 71

Structure (POSCAR):
```
CrCuF5
1.0
3.800 0.000 0.000
0.000 6.399 0.000
0.000 0.000 7.594
Cr Cu F
2 2 10
Cartesian
0.000 0.000 0.000 Cr
1.900 3.200 3.797 Cr
0.000 0.000 3.797 Cu
1.900 3.200 0.000 Cu
0.000 0.000 1.947 F
0.000 0.000 5.647 F
0.000 1.945 0.000 F
0.000 3.200 3.797 F
0.000 4.454 0.000 F
1.900 0.000 0.000 F
1.900 1.255 3.797 F
1.900 3.200 1.850 F
1.900 3.200 5.745 F
1.900 5.144 3.797 F
```